Cr2SbRu: relaxed, PBE.

Output
uncorrected formation energy	0.32	eV/atom

```
Cr2SbRu
1.0
2.734 -3.753 0.000
2.734 3.753 0.000
0.000 0.000 2.964
Cr Sb Ru
2 1 1
direct
0.000 0.500 0.000
0.500 0.000 0.000
0.000 0.000 0.500
0.500 0.500 0.500
```